VASP calculation (GGA-PBE) on a geometry-optimized AlV2Te structure.

## Properties
M_tot   3.353 μB per formula unit
SG   Fm-3m, No. 225
Relative energy among the computed polymorphs   0.0 meV/atom
Raw formation energy   0.249 eV/atom

abc: 4.549 4.549 4.549
angles: 60.00 60.00 60.00
Atoms (fractional coordinates):
Te 0.500 0.500 0.500
V 0.750 0.750 0.750
Al 0.000 0.000 0.000
V 0.250 0.250 0.250